No. 1
Compound: Sc3Mn5
Source: the Alexandria database
Functional: PBE
Structure: relaxed

E_form: 2.63 eV per formula unit
Energy above the most stable polymorph in this dataset: 203 meV/atom
Density of states at the Fermi level: 13.0 states/eV per cell
DFT total energy: -7.777 eV per atom
Spin magnetization: 11.23 μB per formula unit

Lattice parameters (Å, degrees): 8.2766 8.2766 4.5148 90.00 90.00 120.00
Fractional coordinates of all 16 atoms:
Sc1 0.0000 0.3777 0.2500
Sc2 0.0000 0.6223 0.7500
Sc3 0.3777 0.0000 0.2500
Sc4 0.3777 0.3777 0.7500
Sc5 0.6223 0.0000 0.7500
Sc6 0.6223 0.6223 0.2500
Mn1 0.0000 0.1818 0.7500
Mn2 0.0000 0.8182 0.2500
Mn3 0.1818 0.0000 0.7500
Mn4 0.1818 0.1818 0.2500
Mn5 0.3333 0.6667 0.0000
Mn6 0.3333 0.6667 0.5000
Mn7 0.6667 0.3333 0.0000
Mn8 0.6667 0.3333 0.5000
Mn9 0.8182 0.0000 0.2500
Mn10 0.8182 0.8182 0.7500

No. 2
Compound: CaHg2F
Source: the Alexandria database
Functional: PBE
Structure: relaxed

Energy above the most stable polymorph in this dataset: 444 meV/atom
Density of states at the Fermi level: 1.9 states/eV per cell
DFT total energy: -1.974 eV per atom
Spin magnetization: 0.00 μB per formula unit

Lattice parameters (Å, degrees): 5.1191 5.1191 5.1191 60.00 60.00 60.00
Fractional coordinates of all 4 atoms:
Ca1 0.0000 0.0000 0.0000
Hg1 0.2500 0.2500 0.2500
Hg2 0.7500 0.7500 0.7500
F1 0.5000 0.5000 0.5000

No. 3
Compound: Pm7GePb2
Source: the Alexandria database
Functional: PBE
Structure: relaxed

E_form: 1.71 eV per formula unit
Density of states at the Fermi level: 10.6 states/eV per cell
DFT total energy: -4.358 eV per atom
Spin magnetization: 0.00 μB per formula unit

Lattice parameters (Å, degrees): 7.8846 7.8846 7.8846 60.00 60.00 60.00
Fractional coordinates of all 10 atoms:
Pm1 0.0000 0.0000 0.0000
Pm2 0.2534 0.2534 0.7466
Pm3 0.2534 0.7466 0.2534
Pm4 0.2534 0.7466 0.7466
Pm5 0.7466 0.2534 0.2534
Pm6 0.7466 0.2534 0.7466
Pm7 0.7466 0.7466 0.2534
Ge1 0.5000 0.5000 0.5000
Pb1 0.2500 0.2500 0.2500
Pb2 0.7500 0.7500 0.7500

No. 4
Compound: Pr3Sm2HoTe6
Source: the Alexandria database
Functional: PBE
Structure: relaxed

Density of states at the Fermi level: 6.5 states/eV per cell
DFT total energy: -5.325 eV per atom
Spin magnetization: 0.00 μB per formula unit

Lattice parameters (Å, degrees): 10.0142 10.0142 9.0200 103.49 103.49 25.57
Fractional coordinates of all 12 atoms:
Pr1 0.0000 0.0000 0.0000
Pr2 0.3299 0.3299 0.6661
Pr3 0.6701 0.6701 0.3339
Sm1 0.3313 0.3313 0.1641
Sm2 0.6687 0.6687 0.8359
Ho1 0.0000 0.0000 0.5000
Te1 0.1612 0.1612 0.5852
Te2 0.1672 0.1672 0.0791
Te3 0.4992 0.4992 0.2609
Te4 0.5008 0.5008 0.7391
Te5 0.8328 0.8328 0.9209
Te6 0.8388 0.8388 0.4148

No. 5
Compound: HoSb2Au2
Source: the Alexandria database
Functional: PBE
Structure: relaxed

Density of states at the Fermi level: 3.1 states/eV per cell
DFT total energy: -4.367 eV per atom
Spin magnetization: 0.00 μB per formula unit

Lattice parameters (Å, degrees): 11.9535 11.9535 4.4198 90.00 90.00 158.74
Fractional coordinates of all 10 atoms:
Ho1 0.1466 0.8534 0.7500
Ho2 0.8534 0.1466 0.2500
Sb1 0.2497 0.7503 0.2500
Sb2 0.3789 0.6211 0.7500
Sb3 0.6211 0.3789 0.2500
Sb4 0.7503 0.2497 0.7500
Au1 0.0427 0.9573 0.2500
Au2 0.4578 0.5422 0.2500
Au3 0.5422 0.4578 0.7500
Au4 0.9573 0.0427 0.7500

No. 6
Compound: ZrHg2Cl
Source: the Alexandria database
Functional: PBE
Structure: relaxed

Energy above the most stable polymorph in this dataset: 322 meV/atom
Density of states at the Fermi level: 2.7 states/eV per cell
DFT total energy: -2.965 eV per atom
Spin magnetization: 0.00 μB per formula unit

Lattice parameters (Å, degrees): 9.3446 9.3446 9.3446 21.02 21.02 21.02
Fractional coordinates of all 4 atoms:
Zr1 0.0000 0.0000 0.0000
Hg1 0.2477 0.2477 0.2477
Hg2 0.7523 0.7523 0.7523
Cl1 0.5000 0.5000 0.5000

No. 7
Compound: Pm3InGe2
Source: the Alexandria database
Functional: PBE
Structure: relaxed

E_form: -3.38 eV per formula unit
Density of states at the Fermi level: 12.8 states/eV per cell
DFT total energy: -4.934 eV per atom
Spin magnetization: 0.00 μB per formula unit

Lattice parameters (Å, degrees): 7.8727 7.8727 7.8727 60.61 60.61 60.61
Fractional coordinates of all 12 atoms:
Pm1 0.0483 0.7500 0.4517
Pm2 0.2500 0.5483 0.9517
Pm3 0.4517 0.0483 0.7500
Pm4 0.5483 0.9517 0.2500
Pm5 0.7500 0.4517 0.0483
Pm6 0.9517 0.2500 0.5483
In1 0.0000 0.0000 0.0000
In2 0.5000 0.5000 0.5000
Ge1 0.1517 0.1517 0.1517
Ge2 0.3483 0.3483 0.3483
Ge3 0.6517 0.6517 0.6517
Ge4 0.8483 0.8483 0.8483

No. 8
Compound: ZrTa2Tc
Source: the Alexandria database
Functional: PBE
Structure: relaxed

E_form: -0.18 eV per formula unit
Energy above the most stable polymorph in this dataset: 168 meV/atom
Density of states at the Fermi level: 6.2 states/eV per cell
DFT total energy: -10.699 eV per atom
Spin magnetization: 0.00 μB per formula unit

Lattice parameters (Å, degrees): 4.6745 4.6745 3.2764 90.00 90.00 90.00
Fractional coordinates of all 4 atoms:
Zr1 0.0000 0.0000 0.0000
Ta1 0.0000 0.5000 0.5000
Ta2 0.5000 0.0000 0.5000
Tc1 0.5000 0.5000 0.0000

No. 9
Compound: Zn2HgIr
Source: the Alexandria database
Functional: PBE
Structure: relaxed

E_form: 0.20 eV per formula unit
Density of states at the Fermi level: 1.2 states/eV per cell
DFT total energy: -2.878 eV per atom
Spin magnetization: 0.00 μB per formula unit

Lattice parameters (Å, degrees): 4.6477 4.6477 3.0591 90.00 90.00 105.38
Fractional coordinates of all 4 atoms:
Zn1 0.0000 0.5000 0.0000
Zn2 0.5000 0.0000 0.0000
Hg1 0.0000 0.0000 0.5000
Ir1 0.5000 0.5000 0.5000

No. 10
Compound: NdSm2Er5Th
Source: the Alexandria database
Functional: PBE
Structure: relaxed

E_form: 2.63 eV per formula unit
Density of states at the Fermi level: 21.5 states/eV per cell
DFT total energy: -4.646 eV per atom
Spin magnetization: 0.00 μB per formula unit

Lattice parameters (Å, degrees): 9.8106 9.8106 9.8106 127.38 127.38 77.64
Fractional coordinates of all 18 atoms:
Nd1 0.2500 0.7500 0.5000
Nd2 0.7500 0.2500 0.5000
Sm1 0.1156 0.6156 0.7312
Sm2 0.3844 0.1156 0.5000
Sm3 0.6156 0.8844 0.5000
Sm4 0.8844 0.3844 0.2688
Er1 0.0000 0.0000 0.0000
Er2 0.0736 0.1507 0.5000
Er3 0.1507 0.6507 0.0771
Er4 0.3493 0.4264 0.5000
Er5 0.4264 0.9264 0.0771
Er6 0.5000 0.5000 0.0000
Er7 0.5736 0.0736 0.9229
Er8 0.6507 0.5736 0.5000
Er9 0.8493 0.3493 0.9229
Er10 0.9264 0.8493 0.5000
Th1 0.2500 0.2500 0.0000
Th2 0.7500 0.7500 0.0000

No. 11
Compound: Be2InBr
Source: the Alexandria database
Functional: PBE
Structure: relaxed

Energy above the most stable polymorph in this dataset: 0 meV/atom
Density of states at the Fermi level: 0.4 states/eV per cell
DFT total energy: -2.713 eV per atom
Spin magnetization: 0.00 μB per formula unit

Lattice parameters (Å, degrees): 8.0816 8.0816 3.8081 90.54 90.54 23.58
Fractional coordinates of all 4 atoms:
Be1 0.0000 0.0000 0.0000
Be2 0.1317 0.1317 0.0045
In1 0.6560 0.6560 0.5050
Br1 0.4108 0.4108 0.9960

No. 12
Compound: K2MgHg
Source: the Alexandria database
Functional: PBE
Structure: relaxed

E_form: -0.25 eV per formula unit
Energy above the most stable polymorph in this dataset: 0 meV/atom
Density of states at the Fermi level: 1.9 states/eV per cell
DFT total energy: -1.085 eV per atom
Spin magnetization: 0.00 μB per formula unit

Lattice parameters (Å, degrees): 3.9745 3.9745 10.1473 90.00 90.00 90.00
Fractional coordinates of all 4 atoms:
K1 0.0000 0.0000 0.0000
K2 0.5000 0.5000 0.3845
Mg1 0.0000 0.0000 0.6505
Hg1 0.5000 0.5000 0.7581